one | VASP calculation (GGA-PBE) on crystalline Tl2AgF4 at its relaxed geometry.

Summary:
As for the symmetry: P4/mmm.

Lattice parameters (Å, degrees): 3.6521 6.5701 6.5701 90.00 90.00 90.00
Last column: nearest neighbours and their distance in Å.
Fractional coordinates of all 7 atoms:
Tl (0.5000, 0.0000, 0.5000)  8 F 2.96
Tl (0.5000, 0.5000, 0.0000)  8 F 2.96
Ag (0.0000, 0.0000, 0.0000)  4 F 2.10
F (0.0000, 0.7739, 0.7739)  1 Ag 2.10
F (0.0000, 0.2261, 0.2261)  1 Ag 2.10
F (0.0000, 0.7739, 0.2261)  1 Ag 2.10
F (0.0000, 0.2261, 0.7739)  1 Ag 2.10



two | VASP calculation (GGA-PBE) on crystalline Tl2AgF4 at its relaxed geometry.

Summary:
As for the symmetry: Imma.

Lattice parameters (Å, degrees): 8.2010 7.1880 7.1880 65.23 55.22 55.22
Last column: nearest neighbours and their distance in Å.
Fractional coordinates of all 14 atoms:
Tl (0.0880, 0.1620, 0.6620)  4 F 2.70-2.71
Tl (0.5000, 0.0000, 0.0000)  6 F 2.40-2.43
Tl (0.5000, 0.5000, 0.5000)  6 F 2.40-2.43
Tl (0.9120, 0.8380, 0.3380)  4 F 2.70-2.71
Ag (0.0000, 0.5000, 0.0000)  6 F 2.50-2.55
Ag (0.5000, 0.5000, 0.0000)  6 F 2.50-2.55
F (0.2354, 0.3193, 0.2099)  1 Tl 2.40, 2 Ag 2.55
F (0.2354, 0.7099, 0.8193)  1 Tl 2.40, 2 Ag 2.55
F (0.3454, 0.2274, 0.7274)  3 Tl 2.43-2.71, 1 Ag 2.50
F (0.6998, 0.2274, 0.7274)  3 Tl 2.43-2.71, 1 Ag 2.50
F (0.3002, 0.7726, 0.2726)  3 Tl 2.43-2.71, 1 Ag 2.50
F (0.7646, 0.2901, 0.1807)  1 Tl 2.40, 2 Ag 2.55
F (0.6546, 0.7726, 0.2726)  3 Tl 2.43-2.71, 1 Ag 2.50
F (0.7646, 0.6807, 0.7901)  1 Tl 2.40, 2 Ag 2.55



In kJ/mol of atoms, relative to the most stable structure: one 2.7; two 0.0.



one | VASP calculation (GGA-PBE) on crystalline TlAg2F2 at its relaxed geometry.

Summary:
As for the symmetry: I4/mmm.

Lattice parameters (Å, degrees): 4.1038 4.1038 6.0279 70.10 70.10 90.00
Last column: nearest neighbours and their distance in Å.
Fractional coordinates of all 5 atoms:
Tl (0.0000, 0.0000, 0.0000)  8 Ag 3.20, 8 F 3.34
Ag (0.3717, 0.3717, 0.2566)  4 F 2.42, 1 Ag 2.71
Ag (0.6283, 0.6283, 0.7434)  4 F 2.42, 1 Ag 2.71
F (0.7500, 0.2500, 0.5000)  4 Ag 2.42
F (0.2500, 0.7500, 0.5000)  4 Ag 2.42



two | VASP calculation (GGA-PBE) on crystalline TlAg2F2 at its relaxed geometry.

Summary:
As for the symmetry: P4/mbm.

Lattice parameters (Å, degrees): 7.6771 7.6771 3.0786 90.00 90.00 90.00
Last column: nearest neighbours and their distance in Å.
Fractional coordinates of all 10 atoms:
Tl (0.0000, 0.0000, 0.0000)  4 Ag 3.05, 2 Tl 3.08, 8 F 3.16
Tl (0.5000, 0.5000, 0.0000)  4 Ag 3.05, 2 Tl 3.08, 8 F 3.16
Ag (0.3775, 0.8775, 0.0000)  2 F 2.43, 1 Ag 2.66
Ag (0.8775, 0.6225, 0.0000)  2 F 2.43, 1 Ag 2.66
Ag (0.6225, 0.1225, 0.0000)  2 F 2.43, 1 Ag 2.66
Ag (0.1225, 0.3775, 0.0000)  2 F 2.43, 1 Ag 2.66
F (0.2049, 0.7049, 0.5000)  2 Ag 2.43
F (0.7049, 0.7951, 0.5000)  2 Ag 2.43
F (0.7951, 0.2951, 0.5000)  2 Ag 2.43
F (0.2951, 0.2049, 0.5000)  2 Ag 2.43



In kJ/mol of atoms, relative to the most stable structure: one 0.0; two 13.7.



one | VASP calculation (GGA-PBE) on crystalline Tl2Ag2F7 at its relaxed geometry.

Summary:
As for the symmetry: Cmmm.

Lattice parameters (Å, degrees): 5.7502 5.8044 5.8044 93.28 90.00 90.00
Last column: nearest neighbours and their distance in Å.
Fractional coordinates of all 11 atoms:
Tl (0.5000, 0.2704, 0.7296)  6 F 2.37-2.40
Tl (0.5000, 0.7296, 0.2704)  6 F 2.37-2.40
Ag (0.0000, 0.2665, 0.2665)  1 F 2.12
Ag (0.0000, 0.7335, 0.7335)  1 F 2.12
F (0.2704, 0.0000, 0.5000)  2 Tl 2.40, 2 Ag 2.62, 1 F 2.64
F (0.7296, 0.5000, 0.0000)  2 Tl 2.40, 2 Ag 2.62, 1 F 2.64
F (0.7296, 0.0000, 0.5000)  2 Tl 2.40, 2 Ag 2.62, 1 F 2.64
F (0.2704, 0.5000, 0.0000)  2 Tl 2.40, 2 Ag 2.62, 1 F 2.64
F (0.0000, 0.0000, 0.0000)  2 Ag 2.12
F (0.7364, 0.5000, 0.5000)  2 Tl 2.37, 2 Ag 2.40
F (0.2636, 0.5000, 0.5000)  2 Tl 2.37, 2 Ag 2.40



two | VASP calculation (GGA-PBE) on crystalline Tl2Ag2F7 at its relaxed geometry.

Summary:
As for the symmetry: C2/m.

Lattice parameters (Å, degrees): 5.7560 5.6178 5.6178 84.06 90.97 90.97
Last column: nearest neighbours and their distance in Å.
Fractional coordinates of all 11 atoms:
Tl (0.5017, 0.2737, 0.2737)  7 F 2.28-2.36
Tl (0.4983, 0.7263, 0.7263)  7 F 2.28-2.36
Ag (0.0000, 0.2320, 0.7680)  6 F 2.48-2.63
Ag (0.0000, 0.7680, 0.2320)  6 F 2.48-2.63
F (0.7450, 0.0050, 0.5084)  2 Tl 2.36, 2 Ag 2.48-2.63
F (0.2550, 0.4916, 0.9950)  2 Tl 2.36, 2 Ag 2.48-2.63
F (0.2550, 0.9950, 0.4916)  2 Tl 2.36, 2 Ag 2.48-2.63
F (0.7450, 0.5084, 0.0050)  2 Tl 2.36, 2 Ag 2.48-2.63
F (0.5000, 0.0000, 0.0000)  2 Tl 2.28
F (0.2663, 0.4952, 0.4952)  2 Tl 2.32, 2 Ag 2.53
F (0.7337, 0.5048, 0.5048)  2 Tl 2.32, 2 Ag 2.53



In kJ/mol of atoms, relative to the most stable structure: one 9.0; two 0.0.



one | VASP calculation (GGA-PBE) on crystalline TlAg2F3 at its relaxed geometry.

Summary:
As for the symmetry: C2/m.

Lattice parameters (Å, degrees): 3.8587 6.8619 8.4731 90.46 103.16 90.00
Last column: nearest neighbours and their distance in Å.
Fractional coordinates of all 12 atoms:
Tl (0.3561, 0.0743, 0.7121)  3 F 2.51-2.65
Tl (0.6439, 0.9257, 0.2879)  3 F 2.51-2.65
Ag (0.3103, 0.6087, 0.6207)  6 F 2.44-2.59
Ag (0.6897, 0.3913, 0.3793)  6 F 2.44-2.59
Ag (0.0233, 0.7098, 0.0466)  3 F 2.28-2.34
Ag (0.9767, 0.2902, 0.9534)  3 F 2.28-2.34
F (0.2069, 0.1433, 0.4138)  3 Tl 2.51-2.65, 2 Ag 2.59
F (0.1591, 0.6124, 0.3182)  4 Ag 2.34-2.51
F (0.4499, 0.7277, 0.8999)  3 Ag 2.28-2.44
F (0.7931, 0.8567, 0.5862)  3 Tl 2.51-2.65, 2 Ag 2.59
F (0.5501, 0.2723, 0.1001)  3 Ag 2.28-2.44
F (0.8409, 0.3876, 0.6818)  4 Ag 2.34-2.51



two | VASP calculation (GGA-PBE) on crystalline TlAg2F3 at its relaxed geometry.

Summary:
As for the symmetry: Cmc2_1.

Lattice parameters (Å, degrees): 6.2787 6.2787 6.5002 90.00 90.00 113.93
Last column: nearest neighbours and their distance in Å.
Fractional coordinates of all 12 atoms:
Tl (0.2389, 0.2389, 0.4338)  3 F 2.33-2.55
Tl (0.7611, 0.7611, 0.9338)  3 F 2.33-2.55
Ag (0.9730, 0.6868, 0.5359)  4 F 2.38-2.41
Ag (0.6868, 0.9730, 0.5359)  4 F 2.38-2.41
Ag (0.0270, 0.3132, 0.0359)  4 F 2.38-2.41
Ag (0.3132, 0.0270, 0.0359)  4 F 2.38-2.41
F (0.0321, 0.6705, 0.1760)  3 Ag 2.38-2.41, 1 Tl 2.55
F (0.6705, 0.0321, 0.1760)  3 Ag 2.38-2.41, 1 Tl 2.55
F (0.9679, 0.3295, 0.6760)  3 Ag 2.38-2.41, 1 Tl 2.55
F (0.3295, 0.9679, 0.6760)  3 Ag 2.38-2.41, 1 Tl 2.55
F (0.4411, 0.4411, 0.0546)  1 Tl 2.33, 2 Ag 2.39
F (0.5589, 0.5589, 0.5546)  1 Tl 2.33, 2 Ag 2.39



In kJ/mol of atoms, relative to the most stable structure: one 0.7; two 0.0.



one | VASP calculation (GGA-PBE) on crystalline Tl2AgF8 at its relaxed geometry.

Summary:
As for the symmetry: C2/m.

Lattice parameters (Å, degrees): 4.6318 6.0324 6.0324 112.50 99.62 99.62
Last column: nearest neighbours and their distance in Å.
Fractional coordinates of all 11 atoms:
Tl (0.0000, 0.3129, 0.6871)  6 F 2.20-2.36
Tl (0.0000, 0.6871, 0.3129)  6 F 2.20-2.36
Ag (0.5000, 0.0000, 0.0000)  4 F 2.11-2.29
F (0.8937, 0.9223, 0.6543)  2 Tl 2.20-2.25
F (0.8937, 0.6543, 0.9223)  2 Tl 2.20-2.25
F (0.2989, 0.6433, 0.6433)  1 Ag 2.29, 2 Tl 2.36
F (0.5000, 0.7894, 0.2106)  1 Ag 2.11
F (0.5000, 0.2106, 0.7894)  1 Ag 2.11
F (0.7011, 0.3567, 0.3567)  1 Ag 2.29, 2 Tl 2.36
F (0.1063, 0.3457, 0.0777)  2 Tl 2.20-2.25
F (0.1063, 0.0777, 0.3457)  2 Tl 2.20-2.25



two | VASP calculation (GGA-PBE) on crystalline Tl2AgF8 at its relaxed geometry.

Summary:
As for the symmetry: C2/m.

Lattice parameters (Å, degrees): 5.3128 5.8683 5.8683 72.41 80.40 80.40
Last column: nearest neighbours and their distance in Å.
Fractional coordinates of all 11 atoms:
Tl (0.4395, 0.3198, 0.3198)  7 F 2.19-2.33
Tl (0.5605, 0.6802, 0.6802)  7 F 2.19-2.33
Ag (0.0000, 0.0000, 0.0000)  2 F 2.06
F (0.2740, 0.0339, 0.6345)  2 Tl 2.25-2.33, 1 Ag 2.36
F (0.2740, 0.6345, 0.0339)  2 Tl 2.25-2.33, 1 Ag 2.36
F (0.7260, 0.9661, 0.3655)  2 Tl 2.25-2.33, 1 Ag 2.36
F (0.2487, 0.5542, 0.5542)  2 Tl 2.23-2.24
F (0.7260, 0.3655, 0.9661)  2 Tl 2.25-2.33, 1 Ag 2.36
F (0.2703, 0.1271, 0.1271)  1 Ag 2.06, 1 Tl 2.19
F (0.7297, 0.8729, 0.8729)  1 Ag 2.06, 1 Tl 2.19
F (0.7513, 0.4458, 0.4458)  2 Tl 2.23-2.24



In kJ/mol of atoms, relative to the most stable structure: one 3.7; two 0.0.



one | VASP calculation (GGA-PBE) on crystalline Tl3AgF6 at its relaxed geometry.

Summary:
As for the symmetry: Cmc2_1.

Lattice parameters (Å, degrees): 5.7520 8.3051 8.3051 104.92 90.00 90.00
Last column: nearest neighbours and their distance in Å.
Fractional coordinates of all 20 atoms:
Tl (0.4495, 0.9375, 0.7097)  5 F 2.62-2.89
Tl (0.9495, 0.7097, 0.9375)  5 F 2.62-2.89
Tl (0.3963, 0.4066, 0.5934)  7 F 2.19-2.35
Tl (0.8963, 0.5934, 0.4066)  7 F 2.19-2.35
Tl (0.9495, 0.0625, 0.2903)  5 F 2.62-2.89
Tl (0.4495, 0.2903, 0.0625)  5 F 2.62-2.89
Ag (0.0099, 0.1875, 0.8125)  4 F 2.20-2.43
Ag (0.5099, 0.8125, 0.1875)  4 F 2.20-2.43
F (0.1611, 0.6437, 0.6205)  2 Tl 2.29-2.35
F (0.6611, 0.6205, 0.6437)  2 Tl 2.29-2.35
F (0.2148, 0.4456, 0.8407)  1 Tl 2.25, 1 Ag 2.40
F (0.7148, 0.8407, 0.4456)  1 Tl 2.25, 1 Ag 2.40
F (0.2834, 0.9475, 0.0525)  1 Ag 2.20
F (0.6450, 0.2803, 0.7197)  1 Tl 2.19, 1 Ag 2.43
F (0.1450, 0.7197, 0.2803)  1 Tl 2.19, 1 Ag 2.43
F (0.7834, 0.0525, 0.9475)  1 Ag 2.20
F (0.2148, 0.1593, 0.5544)  1 Tl 2.25, 1 Ag 2.40
F (0.7148, 0.5544, 0.1593)  1 Tl 2.25, 1 Ag 2.40
F (0.1611, 0.3795, 0.3563)  2 Tl 2.29-2.35
F (0.6611, 0.3563, 0.3795)  2 Tl 2.29-2.35



two | VASP calculation (GGA-PBE) on crystalline Tl3AgF6 at its relaxed geometry.

Summary:
As for the symmetry: P2_1/c.

Lattice parameters (Å, degrees): 6.4077 6.5098 9.0842 90.00 90.51 90.00
Last column: nearest neighbours and their distance in Å.
Fractional coordinates of all 20 atoms:
Tl (0.5096, 0.9613, 0.7480)  5 F 2.78-3.07
Tl (0.5000, 0.5000, 0.0000)  6 F 2.22-2.23
Tl (0.4904, 0.0387, 0.2520)  5 F 2.78-3.07
Tl (0.0096, 0.5387, 0.2480)  5 F 2.78-3.07
Tl (0.0000, 0.0000, 0.5000)  6 F 2.22-2.23
Tl (0.9904, 0.4613, 0.7520)  5 F 2.78-3.07
Ag (0.5000, 0.5000, 0.5000)  6 F 2.45-2.48
Ag (0.0000, 0.0000, 0.0000)  6 F 2.45-2.48
F (0.6942, 0.2252, 0.9544)  1 Tl 2.22, 1 Ag 2.48
F (0.7215, 0.1963, 0.5377)  1 Tl 2.22, 1 Ag 2.46
F (0.5816, 0.4735, 0.2380)  1 Tl 2.23, 1 Ag 2.45
F (0.4184, 0.5265, 0.7620)  1 Tl 2.23, 1 Ag 2.45
F (0.2785, 0.8037, 0.4623)  1 Tl 2.22, 1 Ag 2.46
F (0.3058, 0.7748, 0.0456)  1 Tl 2.22, 1 Ag 2.48
F (0.1942, 0.2748, 0.4544)  1 Tl 2.22, 1 Ag 2.48
F (0.2215, 0.3037, 0.0377)  1 Tl 2.22, 1 Ag 2.46
F (0.0816, 0.0265, 0.7380)  1 Tl 2.23, 1 Ag 2.45
F (0.9184, 0.9735, 0.2620)  1 Tl 2.23, 1 Ag 2.45
F (0.7785, 0.6963, 0.9623)  1 Tl 2.22, 1 Ag 2.46
F (0.8058, 0.7252, 0.5456)  1 Tl 2.22, 1 Ag 2.48



In kJ/mol of atoms, relative to the most stable structure: one 3.6; two 0.0.



one | VASP calculation (GGA-PBE) on crystalline TmAgF4 at its relaxed geometry.

Summary:
As for the symmetry: Cmmm.

Lattice parameters (Å, degrees): 3.5127 5.5120 5.5120 92.87 90.00 90.00
Last column: nearest neighbours and their distance in Å.
Fractional coordinates of all 6 atoms:
Tm (0.0000, 0.0000, 0.0000)  6 F 2.11-2.20
Ag (0.5000, 0.5000, 0.5000)  6 F 2.44-2.67
F (0.5000, 0.8349, 0.1651)  2 Tm 2.20
F (0.5000, 0.1651, 0.8349)  2 Tm 2.20
F (0.0000, 0.2778, 0.2778)  1 Tm 2.11
F (0.0000, 0.7222, 0.7222)  1 Tm 2.11



two | VASP calculation (GGA-PBE) on crystalline TmAgF4 at its relaxed geometry.

Summary:
As for the symmetry: P2/m.

Lattice parameters (Å, degrees): 3.7956 3.7941 7.0776 57.68 90.00 90.00
Last column: nearest neighbours and their distance in Å.
Fractional coordinates of all 6 atoms:
Tm (0.5000, 0.0000, 0.5000)  8 F 2.27
Ag (0.0000, 0.0000, 0.0000)  8 F 2.57-2.58
F (0.5000, 0.2926, 0.7080)  2 Tm 2.27, 1 F 2.49
F (0.5000, 0.7074, 0.2920)  2 Tm 2.27, 1 F 2.49
F (0.0000, 0.2071, 0.2920)  2 Tm 2.27, 1 F 2.49
F (0.0000, 0.7929, 0.7080)  2 Tm 2.27, 1 F 2.49



In kJ/mol of atoms, relative to the most stable structure: one 4.8; two 0.0.